First-principles (PBE) data for crystalline ZnPPb at its relaxed geometry, as listed in Alexandria.

```
6
Lattice="-4.205 0.658 2.968 0.588 -4.371 -2.735 2.689 -2.348 4.330" Properties=species:S:1:pos:R:3 pbc="T T T"
Zn -1.935 -1.605 2.150
Zn 1.007 -4.455 2.413
P 0.000 0.000 0.000
P 1.344 -1.174 2.165
Pb -0.338 -3.281 0.249
Pb -0.591 -2.779 4.314
```

Summary:
energy relative to the elements = 0.4762 eV/atom
distance to the lowest polymorph of the same formula = 0.465 eV per atom
size of the total moment = 0.00 μB/f.u.
E_tot = -2.988 eV/atom
SG = P6_3/mmc (194)
Fermi-level density of states = 0.841 states/eV/f.u.
calculated volume = 21.808 Å³ per atom
crystal system = hexagonal